{
  "formula": "FeC",
  "functional": "PBE",
  "state": "relaxed",
  "cell": [[-1.4638, 3.4772, -1.4799], [-2.1463, 2.9358, 1.7884], [0.9707, 3.8441, 0.8394]],
  "species": ["C", "Fe", "C", "Fe"],
  "fractional_positions": [[0.9314, 0.9314, 0.9314], [0.2470, 0.2470, 0.2470], [0.0686, 0.0686, 0.0686], [0.7530, 0.7530, 0.7530]],
  "formation_enthalpy_0k_kj_per_mol_atoms": 55,
  "total_magnetization_mub_per_cell": 0.84
}